[1]
DFT (PBE) results for crystalline Lu2PaAl at its relaxed geometry.

Cell and atoms, written as CIF:
```
data_Lu2PaAl
_chemical_formula_sum 'Lu2 Pa1 Al1'
_cell_length_a 4.502
_cell_length_b 4.663
_cell_length_c 4.663
_cell_angle_alpha 90.00
_cell_angle_beta 90.00
_cell_angle_gamma 90.00
_symmetry_space_group_name_H-M 'P 1'
_symmetry_Int_Tables_number 1
_symmetry_space_group_name_Hall 'P 1'
loop_
_atom_site_label
_atom_site_type_symbol
_atom_site_fract_x
_atom_site_fract_y
_atom_site_fract_z
_atom_site_occupancy
Al1 Al 0.500 0.500 0.500 1
Lu1 Lu 0.000 0.000 0.500 1
Pa1 Pa 0.500 0.000 0.000 1
Lu2 Lu 0.000 0.500 0.000 1
```

Properties
The calculation puts the formation energy from the elements at -0.019 eV/atom. For the energy above the most stable polymorph in this dataset, the calculation gives 0.0844 eV per atom. The total magnetic moment is 0.0 μB per formula unit.


[2]
DFT (PBE) results for crystalline LuPaAl at its relaxed geometry.

Cell and atoms, written as CIF:
```
data_LuPaAl
_chemical_formula_sum 'Lu1 Pa1 Al1'
_cell_length_a 3.176
_cell_length_b 3.176
_cell_length_c 7.349
_cell_angle_alpha 102.48
_cell_angle_beta 102.48
_cell_angle_gamma 90.00
_symmetry_space_group_name_H-M 'P 1'
_symmetry_Int_Tables_number 1
_symmetry_space_group_name_Hall 'P 1'
loop_
_atom_site_label
_atom_site_type_symbol
_atom_site_fract_x
_atom_site_fract_y
_atom_site_fract_z
_atom_site_occupancy
Lu1 Lu 0.012 0.012 0.024 1
Al1 Al 0.666 0.666 0.332 1
Pa1 Pa 0.322 0.322 0.644 1
```

Properties
The calculation puts the formation energy from the elements at -0.080 eV/atom. For the energy above the most stable polymorph in this dataset, the calculation gives 0.0000 eV per atom. The total magnetic moment is 0.0 μB per formula unit.


[3]
DFT (PBE) results for crystalline LuPaAl at its relaxed geometry.

Cell and atoms, written as CIF:
```
data_LuPaAl
_chemical_formula_sum 'Lu1 Pa1 Al1'
_cell_length_a 3.190
_cell_length_b 5.075
_cell_length_c 5.075
_cell_angle_alpha 120.00
_cell_angle_beta 90.00
_cell_angle_gamma 90.00
_symmetry_space_group_name_H-M 'P 1'
_symmetry_Int_Tables_number 1
_symmetry_space_group_name_Hall 'P 1'
loop_
_atom_site_label
_atom_site_type_symbol
_atom_site_fract_x
_atom_site_fract_y
_atom_site_fract_z
_atom_site_occupancy
Al1 Al 0.731 0.667 0.333 1
Lu1 Lu 0.908 0.000 0.000 1
Pa1 Pa 0.361 0.333 0.667 1
```

Properties
The calculation puts the formation energy from the elements at 0.088 eV/atom. For the energy above the most stable polymorph in this dataset, the calculation gives 0.1677 eV per atom. The total magnetic moment is 0.0 μB per formula unit.


[4]
DFT (PBE) results for crystalline Lu2PaAl at its relaxed geometry.

Cell and atoms, written as CIF:
```
data_Lu2PaAl
_chemical_formula_sum 'Lu2 Pa1 Al1'
_cell_length_a 3.224
_cell_length_b 3.224
_cell_length_c 11.358
_cell_angle_alpha 81.84
_cell_angle_beta 81.84
_cell_angle_gamma 60.00
_symmetry_space_group_name_H-M 'P 1'
_symmetry_Int_Tables_number 1
_symmetry_space_group_name_Hall 'P 1'
loop_
_atom_site_label
_atom_site_type_symbol
_atom_site_fract_x
_atom_site_fract_y
_atom_site_fract_z
_atom_site_occupancy
Pa1 Pa 0.000 0.000 0.000 1
Lu1 Lu 0.096 0.096 0.713 1
Al1 Al 0.500 0.500 0.500 1
Lu2 Lu 0.904 0.904 0.287 1
```

Properties
The calculation puts the formation energy from the elements at 0.156 eV/atom. For the energy above the most stable polymorph in this dataset, the calculation gives 0.2592 eV per atom. The total magnetic moment is 0.0 μB per formula unit.